Here is an optimized crystal structure of MoH2 from OQMD via LeMat-Bulk. Energies are from PBE-GGA.

Cell: 3.1434 3.1434 4.8417 Å, 90.00 90.00 120.00°
Sites, in units of the cell vectors:
Mo  0.3333  0.6667  0.0000
Mo  0.6667  0.3333  0.5000
H  0.0000  0.0000  0.1156
H  0.0000  0.0000  0.6156
H  0.3333  0.6667  0.3773
H  0.6667  0.3333  0.8773

Calculated values
Size of the total moment = 0.00 μB/f.u.
Energy relative to the lowest polymorph listed for this composition = 0 meV per atom
Symmetry = P6_3mc
Raw total energy = -34.833 eV per cell



Here is an optimized crystal structure of CoTcAsPt from OQMD via LeMat-Bulk. Energies are from PBE-GGA.

Cell: 4.3280 4.3280 4.3280 Å, 60.00 60.00 60.00°
Sites, in units of the cell vectors:
Co  0.0000  0.0000  0.0000
Tc  0.5000  0.5000  0.5000
As  0.7500  0.7500  0.7500
Pt  0.2500  0.2500  0.2500

Calculated values
Size of the total moment = 1.84 μB/f.u.
Energy relative to the lowest polymorph listed for this composition = 0 meV per atom
Symmetry = F-43m
Raw total energy = -27.822 eV per cell



Here is an optimized crystal structure of LiErIr from OQMD via LeMat-Bulk. Energies are from PBE-GGA.

Cell: 4.2508 4.2508 4.2508 Å, 60.00 60.00 60.00°
Sites, in units of the cell vectors:
Li  0.0000  0.0000  0.0000
Er  0.7500  0.7500  0.7500
Ir  0.2500  0.2500  0.2500

Calculated values
Size of the total moment = 0.00 μB/f.u.
Symmetry = F-43m
Raw total energy = -15.875 eV per cell



Here is an optimized crystal structure of BaPrMgSe3 from OQMD via LeMat-Bulk. Energies are from PBE-GGA.

Cell: 7.6181 7.6181 11.3450 Å, 90.00 90.00 147.49°
Sites, in units of the cell vectors:
Ba  0.2474  0.7526  0.7500
Ba  0.7526  0.2474  0.2500
Pr  0.5000  0.5000  0.0000
Pr  0.5000  0.5000  0.5000
Mg  0.0332  0.9668  0.2500
Mg  0.9668  0.0332  0.7500
Se  0.1410  0.8590  0.0723
Se  0.1410  0.8590  0.4277
Se  0.4295  0.5705  0.2500
Se  0.5705  0.4295  0.7500
Se  0.8590  0.1410  0.5723
Se  0.8590  0.1410  0.9277

Calculated values
Size of the total moment = 0.01 μB/f.u.
Symmetry = Cmcm
Raw total energy = -56.562 eV per cell



Here is an optimized crystal structure of AlNiOs from OQMD via LeMat-Bulk. Energies are from PBE-GGA.

Cell: 4.0852 4.0852 4.0852 Å, 60.00 60.00 60.00°
Sites, in units of the cell vectors:
Al  0.0000  0.0000  0.0000
Ni  0.5000  0.5000  0.5000
Os  0.2500  0.2500  0.2500

Calculated values
Size of the total moment = 1.95 μB/f.u.
Energy relative to the lowest polymorph listed for this composition = 149 meV per atom
Symmetry = F-43m
Raw total energy = -19.423 eV per cell



Here is an optimized crystal structure of Sc3Si3Ni2 from OQMD via LeMat-Bulk. Energies are from PBE-GGA.

Cell: 5.2312 5.2312 13.0876 Å, 90.00 90.00 135.32°
Sites, in units of the cell vectors:
Sc  0.0833  0.9167  0.6117
Sc  0.0833  0.9167  0.8883
Sc  0.3623  0.6377  0.7500
Sc  0.6377  0.3623  0.2500
Sc  0.9167  0.0833  0.1117
Sc  0.9167  0.0833  0.3883
Si  0.3401  0.6599  0.2500
Si  0.3842  0.6158  0.5391
Si  0.3842  0.6158  0.9609
Si  0.6158  0.3842  0.0391
Si  0.6158  0.3842  0.4609
Si  0.6599  0.3401  0.7500
Ni  0.2078  0.7922  0.0959
Ni  0.2078  0.7922  0.4041
Ni  0.7922  0.2078  0.5959
Ni  0.7922  0.2078  0.9041

Calculated values
Size of the total moment = 0.00 μB/f.u.
Symmetry = Cmcm
Raw total energy = -106.899 eV per cell



Here is an optimized crystal structure of PrNd2 from OQMD via LeMat-Bulk. Energies are from PBE-GGA.

Cell: 9.3505 9.3505 9.3505 Å, 60.00 60.00 60.00°
Sites, in units of the cell vectors:
Pr  0.1250  0.1250  0.1250
Pr  0.8750  0.8750  0.8750
Nd  0.0000  0.0000  0.0000
Nd  0.0000  0.0000  0.5000
Nd  0.0000  0.5000  0.0000
Nd  0.5000  0.0000  0.0000

Calculated values
Size of the total moment = 5.69 μB/f.u.
Energy relative to the lowest polymorph listed for this composition = 2654 meV per atom
Symmetry = Fd-3m
Raw total energy = -11.247 eV per cell
ΔH_f (0 K) = 2892 meV/atom



Here is an optimized crystal structure of ThCu from OQMD via LeMat-Bulk. Energies are from PBE-GGA.

Cell: 4.4646 4.4646 4.4646 Å, 60.00 60.00 60.00°
Sites, in units of the cell vectors:
Th  0.0000  0.0000  0.0000
Cu  0.2500  0.2500  0.2500

Calculated values
Size of the total moment = 0.34 μB/f.u.
Symmetry = F-43m
Raw total energy = -9.532 eV per cell
ΔH_f (0 K) = 799 meV/atom



Here is an optimized crystal structure of Na4AgSb2Pd from OQMD via LeMat-Bulk. Energies are from PBE-GGA.

Cell: 4.9019 4.9019 6.9658 Å, 90.00 90.00 90.00°
Sites, in units of the cell vectors:
Na  0.0000  0.0000  0.0000
Na  0.0000  0.5000  0.2415
Na  0.5000  0.0000  0.7585
Na  0.5000  0.5000  0.5000
Ag  0.0000  0.0000  0.5000
Sb  0.0000  0.5000  0.7588
Sb  0.5000  0.0000  0.2412
Pd  0.5000  0.5000  0.0000

Calculated values
Symmetry = P-4m2
Raw total energy = -24.022 eV per cell



Here is an optimized crystal structure of LaCuGePt from OQMD via LeMat-Bulk. Energies are from PBE-GGA.

Cell: 4.8464 4.8464 4.8464 Å, 60.00 60.00 60.00°
Sites, in units of the cell vectors:
La  0.0000  0.0000  0.0000
Cu  0.5000  0.5000  0.5000
Ge  0.2500  0.2500  0.2500
Pt  0.7500  0.7500  0.7500

Calculated values
Size of the total moment = 0.00 μB/f.u.
Energy relative to the lowest polymorph listed for this composition = 110 meV per atom
Symmetry = F-43m
Raw total energy = -20.748 eV per cell



Here is an optimized crystal structure of BaAsAu from OQMD via LeMat-Bulk. Energies are from PBE-GGA.

Cell: 7.5878 7.5878 4.7286 Å, 90.00 90.00 120.00°
Sites, in units of the cell vectors:
Ba  0.0000  0.5837  0.0000
Ba  0.4163  0.4163  0.0000
Ba  0.5837  0.0000  0.0000
As  0.0000  0.0000  0.0000
As  0.3333  0.6667  0.5000
As  0.6667  0.3333  0.5000
Au  0.0000  0.2456  0.5000
Au  0.2456  0.0000  0.5000
Au  0.7544  0.7544  0.5000

Calculated values
Symmetry = P-62m
Raw total energy = -35.847 eV per cell



Here is an optimized crystal structure of NaTmAuSe3 from OQMD via LeMat-Bulk. Energies are from PBE-GGA.

Cell: 10.5546 3.9625 14.1062 Å, 90.00 90.00 90.00°
Sites, in units of the cell vectors:
Na  0.2220  0.2500  0.0169
Na  0.2780  0.7500  0.5169
Na  0.7220  0.2500  0.4831
Na  0.7780  0.7500  0.9831
Tm  0.0188  0.7500  0.7454
Tm  0.4812  0.2500  0.2454
Tm  0.5188  0.7500  0.7546
Tm  0.9812  0.2500  0.2546
Au  0.2353  0.7500  0.2198
Au  0.2647  0.2500  0.7198
Au  0.7353  0.7500  0.2802
Au  0.7647  0.2500  0.7802
Se  0.0337  0.7500  0.1150
Se  0.0741  0.2500  0.6066
Se  0.2313  0.2500  0.3419
Se  0.2687  0.7500  0.8419
Se  0.4259  0.7500  0.1066
Se  0.4663  0.2500  0.6150
Se  0.5337  0.7500  0.3850
Se  0.5741  0.2500  0.8934
Se  0.7313  0.2500  0.1581
Se  0.7687  0.7500  0.6581
Se  0.9259  0.7500  0.3934
Se  0.9663  0.2500  0.8850

Calculated values
Size of the total moment = 0.05 μB/f.u.
Symmetry = Pnma
Raw total energy = -102.570 eV per cell



- Which value of raw total energy does entry 8 give?
  -9.532 eV per cell



- The lowest raw total energy belongs to which entry?
  Sc3Si3Ni2



- Number 3 is which compound?
  LiErIr